Record 1
A geometry-optimized MgIrI structure. Source: Alexandria via LeMat-Bulk, functional PBE.

As for the offset from the most stable computed form: 0.092 eV per formula unit. The formation energy from raw total energies comes out at -0.348 eV/atom. The value obtained for the density of states at the Fermi level is 0.46 states/eV per atom.

The structure belongs to space group C2/m (No. 12); the cell edges are 7.059, 4.263 and 11.468 Å and the angles 90.00°, 90.79° and 90.00°. The inequivalent atoms are Mg at (0.006, 0.000, 0.166), Ir at (0.174, 0.500, 0.999) and I at (0.172, 0.500, 0.317).

***

Record 2
A geometry-optimized Mg2IrI2 structure. Source: Alexandria via LeMat-Bulk, functional PBE.

As for the offset from the most stable computed form: 2.485 eV per formula unit. The formation energy from raw total energies comes out at 0.789 eV/atom. The value obtained for the density of states at the Fermi level is 1.39 states/eV per atom.

The structure belongs to space group I4/mmm (No. 139); the cell edges are 5.131, 5.131 and 11.716 Å and the angles 90.00°, 90.00° and 90.00°. The inequivalent atoms are Mg at (0.000, 0.000, 0.123), Ir at (0.000, 0.000, 0.500) and I at (0.000, 0.500, 0.250).